Ni2PdPtN: optimized geometry, PBE-GGA.

Values from the calculation:
**Energy relative to the lowest polymorph listed for this composition**: 0.0 meV per atom
**Final energy**: -6.067 eV/atom
**Formation energy from raw total energies**: 0.16 eV/atom

Unit cell a=3.805 b=3.805 c=4.182 alpha=90.00 beta=90.00 gamma=90.00
Atoms (fractional coordinates):
1 Ni 0.000 0.500 0.000
2 Ni 0.500 0.000 0.000
3 Pd 0.000 0.000 0.500
4 Pt 0.500 0.500 0.500
5 N 0.000 0.000 0.000